Entry 1:
Here is an optimized crystal structure of CaYAl3O7 from Alexandria. Energies are from PBE.

## Properties
The value obtained for the mass density is 3.48 g/cm³. The value obtained for the calculated total energy is -184.408 eV/cell. The density of states at the Fermi level is 0.00 states/eV/cell. The value obtained for the raw formation energy is -3.15 eV/atom. The calculation puts the excess energy over the best structure of this formula in the dataset at 0.0 meV/atom. As for the space group: P2_1 (4).

a = 7.7505 Å, b = 5.0989 Å, c = 7.7681 Å
α = 89.38°, β = 90.00°, γ = 90.00°
With the nearest neighbours (Å) after each atom.
Element x y z (fractional)
Ca: 0.1592 0.5244 0.4196  5 O 2.38-2.51
Ca: 0.6592 0.4756 0.5804  5 O 2.38-2.51
Y: 0.8394 0.5078 0.0956  6 O 2.30-2.56
Y: 0.3394 0.4922 0.9044  6 O 2.30-2.56
Al: 0.3565 0.9633 0.6100  4 O 1.75-1.78
Al: 0.8565 0.0367 0.3900  4 O 1.75-1.78
Al: 0.6447 0.9543 0.8976  4 O 1.75-1.79
Al: 0.1447 0.0457 0.1024  4 O 1.75-1.79
Al: 0.4992 0.9995 0.2413  4 O 1.75-1.77
Al: 0.9992 0.0005 0.7587  4 O 1.75-1.77
O: 0.3594 0.3043 0.6280  1 Al 1.75
O: 0.8594 0.6957 0.3720  1 Al 1.75
O: 0.6440 0.2969 0.9057  1 Al 1.75
O: 0.1440 0.7031 0.0943  1 Al 1.75
O: 0.0090 0.1936 0.2545  2 Al 1.76-1.77
O: 0.5090 0.8064 0.7455  2 Al 1.76-1.77
O: 0.3933 0.8266 0.4066  2 Al 1.75-1.76
O: 0.8933 0.1734 0.5934  2 Al 1.75-1.76
O: 0.5820 0.7769 0.0878  2 Al 1.77-1.79
O: 0.0820 0.2231 0.9122  2 Al 1.77-1.79
O: 0.3474 0.1971 0.1310  2 Al 1.77
O: 0.8474 0.8029 0.8690  2 Al 1.77
O: 0.6659 0.2013 0.3204  2 Al 1.77-1.78
O: 0.1659 0.7987 0.6796  2 Al 1.77-1.78

***

Entry 2:
Here is an optimized crystal structure of Ca2YAlO from Alexandria. Energies are from PBE.

## Properties
The value obtained for the mass density is 3.19 g/cm³. The value obtained for the calculated total energy is -25.778 eV/cell. The density of states at the Fermi level is 1.29 states/eV/cell. The value obtained for the raw formation energy is -1.32 eV/atom. As for the space group: P4/mmm (123).

a = 4.7611 Å, b = 4.7611 Å, c = 4.8647 Å
α = 90.00°, β = 90.00°, γ = 90.00°
With the nearest neighbours (Å) after each atom.
Element x y z (fractional)
Y: 0.0000 0.0000 0.5000  2 O 2.43
Ca: 0.0000 0.5000 0.0000  2 O 2.38
Ca: 0.5000 0.0000 0.0000  2 O 2.38
Al: 0.5000 0.5000 0.5000  4 Y 3.37, 8 Ca 3.40
O: 0.0000 0.0000 0.0000  4 Ca 2.38, 2 Y 2.43